The following is a meta-GGA SCAN calculation of a PBEsol-optimized structure of TlMoAs2, from Alexandria via LeMat-Bulk.

Output
ΔE_f (meV/atom): 315
Volume (Å³ per atom): 18.94
Crystal system: orthorhombic
Total moment (μB/f.u.): 0.00

Lattice parameters (Å, degrees): 4.517 3.529 9.507 90.00 90.00 90.00
Space group Amm2 (No. 38)
Asymmetric unit:
Tl: 0.000 0.000 0.000
Mo: 0.500 0.000 0.599
As: 0.000 0.000 0.727
As: 0.500 0.000 0.303

The following is a meta-GGA SCAN calculation of a PBEsol-optimized structure of TlMoAs2, from Alexandria via LeMat-Bulk.

Output
ΔE_f (meV/atom): 292
Volume (Å³ per atom): 19.56
Crystal system: tetragonal
Total moment (μB/f.u.): 0.00

Lattice parameters (Å, degrees): 3.286 3.286 7.245 90.00 90.00 90.00
Space group P4mm (No. 99)
Asymmetric unit:
Tl: 0.000 0.000 0.000
Mo: 0.500 0.500 0.707
As: 0.000 0.000 0.568
As: 0.500 0.500 0.343

The following is a meta-GGA SCAN calculation of a PBEsol-optimized structure of MoAsW2, from Alexandria via LeMat-Bulk.

Output
ΔE_f (meV/atom): 490
Volume (Å³ per atom): 15.53
Crystal system: trigonal
Total moment (μB/f.u.): 0.00

Lattice parameters (Å, degrees): 2.8988 2.8988 25.6124 90.00 90.00 120.00
Space group R-3m (No. 166, hexagonal axes)
Asymmetric unit:
Mo: 0.0000 0.0000 0.0000
As: 0.0000 0.0000 0.5000
W: 0.0000 0.0000 0.2477

The following is a meta-GGA SCAN calculation of a PBEsol-optimized structure of MoAsW2, from Alexandria via LeMat-Bulk.

Output
ΔE_f (meV/atom): 247
Volume (Å³ per atom): 15.32
Crystal system: tetragonal
Total moment (μB/f.u.): 0.00

Lattice parameters (Å, degrees): 3.158 3.158 6.147 90.00 90.00 90.00
Space group P4mm (No. 99)
Asymmetric unit:
Mo: 0.000 0.000 0.000
As: 0.500 0.500 0.743
W: 0.000 0.000 0.507
W: 0.500 0.500 0.239

The following is a meta-GGA SCAN calculation of a PBEsol-optimized structure of YMo2As, from Alexandria via LeMat-Bulk.

Output
ΔE_f (meV/atom): -136
Volume (Å³ per atom): 18.10
Crystal system: monoclinic
Total moment (μB/f.u.): 0.00

Lattice parameters (Å, degrees): 3.301 4.302 5.307 90.00 106.15 90.00
Space group Pm (No. 6)
Asymmetric unit:
Y: 0.000 0.000 0.000
Mo: 0.259 0.500 0.570
Mo: 0.677 0.000 0.483
As: 0.577 0.500 0.173

The following is a meta-GGA SCAN calculation of a PBEsol-optimized structure of YMoAs2, from Alexandria via LeMat-Bulk.

Output
ΔE_f (meV/atom): -735
Volume (Å³ per atom): 19.60
Crystal system: trigonal
Total moment (μB/f.u.): 2.24

Lattice parameters (Å, degrees): 3.8821 3.8821 18.0221 90.00 90.00 120.00
Space group R-3m (No. 166, hexagonal axes)
Asymmetric unit:
Y: 0.0000 0.0000 0.0000
Mo: 0.0000 0.0000 0.5000
As: 0.0000 0.0000 0.2384

The following is a meta-GGA SCAN calculation of a PBEsol-optimized structure of YMoAs2, from Alexandria via LeMat-Bulk.

Output
ΔE_f (meV/atom): -651
Volume (Å³ per atom): 19.32
Crystal system: orthorhombic
Total moment (μB/f.u.): 0.79

Lattice parameters (Å, degrees): 3.373 3.560 12.869 90.00 90.00 90.00
Space group Imm2 (No. 44)
Asymmetric unit:
Y: 0.000 0.000 0.000
Mo: 0.000 0.500 0.251
As: 0.000 0.000 0.608
As: 0.000 0.500 0.827

The following is a meta-GGA SCAN calculation of a PBEsol-optimized structure of YMoAs2, from Alexandria via LeMat-Bulk.

Output
ΔE_f (meV/atom): -231
Volume (Å³ per atom): 25.94
Crystal system: tetragonal
Total moment (μB/f.u.): 1.66

Lattice parameters (Å, degrees): 5.569 5.569 13.385 90.00 90.00 90.00
Space group I-42d (No. 122)
Asymmetric unit:
Y: 0.000 0.000 0.000
Mo: 0.000 0.000 0.500
As: 0.183 0.250 0.625